A plane-wave DFT calculation with GGA-PBE was carried out for HfNbV3 after structural relaxation.

Summary:
Its raw total energy is -8.3500 eV per atom. The polymorph energy (0 for the lowest one) comes out at 0.000 eV per atom. The calculated volume is 19.16 Å³/atom. The calculation puts the density of states at the Fermi level at 4.365 states/eV per cell. As for the space group: No. 221. The formation energy is 1.126 eV per atom.

a b c (Å): 4.5760 4.5760 4.5760
angles (deg): 90.00 90.00 90.00
Last column: nearest neighbours and their distance in Å.
Sites, in units of the cell vectors:
1 Hf 0.0000 0.0000 0.0000  12 V 3.24
2 Nb 0.5000 0.5000 0.5000  6 V 2.29
3 V 0.0000 0.5000 0.5000  2 Nb 2.29
4 V 0.5000 0.0000 0.5000  2 Nb 2.29
5 V 0.5000 0.5000 0.0000  2 Nb 2.29